Entry 1:
Below is an optimized crystal structure of CaBeRh2, with properties calculated at the PBEsol level.

Unit cell a=5.5879 b=8.3670 c=2.7850 alpha=90.00 beta=116.57 gamma=90.00
Last column: nearest neighbours and their distance in Å.
Space group C2/m (No. 12)
Unique sites:
Ca 0.0000 0.0000 0.0000 [2 per cell]  4 Rh 2.55, 2 Ca 2.78, 2 Be 2.79
Be 0.0000 0.5000 0.0000 [2 per cell]  4 Rh 2.55, 2 Be 2.78, 2 Ca 2.79
Rh 0.2500 0.2500 0.5000 [4 per cell]  2 Ca 2.55, 2 Be 2.55, 4 Rh 2.78-2.79

Summary:
- Total moment: 0.0 μB per cell
- Uncorrected energy: -5.53 eV/atom
- Mass density: 7.3 Mg/m³
- Formation energy from the elements: 0.077 eV/atom

=====

Entry 2:
Below is an optimized crystal structure of Mg2PBr, with properties calculated at the PBEsol level.

Unit cell a=3.9023 b=3.9023 c=19.2698 alpha=90.00 beta=90.00 gamma=120.00
Last column: nearest neighbours and their distance in Å.
Space group R-3m (No. 166, hexagonal axes)
Unique sites:
Mg 0.0000 0.0000 0.2290 [6 per cell]  3 P 2.55
P 0.0000 0.0000 0.5000 [3 per cell]  6 Mg 2.55
Br 0.0000 0.0000 0.0000 [3 per cell]  6 Mg 3.02

Summary:
- Total moment: 0.0 μB per cell
- E above lowest polymorph: 0.00 eV/f.u.
- Uncorrected energy: -3.68 eV/atom
- Mass density: 3.1 Mg/m³
- Formation energy (no corrections): -0.90 eV per atom

=====

Entry 3:
Below is an optimized crystal structure of BeMoSe2F, with properties calculated at the PBEsol level.

Unit cell a=5.3082 b=5.3082 c=2.8982 alpha=90.00 beta=90.00 gamma=90.00
Last column: nearest neighbours and their distance in Å.
Space group P4/mmm (No. 123)
Unique sites:
Be 0.0000 0.0000 0.0000 [1 per cell]  2 F 1.45
Mo 0.5000 0.5000 0.0000 [1 per cell]  2 Mo 2.90, 8 Se 3.02
Se 0.0000 0.5000 0.5000 [2 per cell]  2 F 2.65, 2 Se 2.90
F 0.0000 0.0000 0.5000 [1 per cell]  2 Be 1.45

Summary:
- Total moment: 2.8 μB per cell
- Uncorrected energy: -5.11 eV/atom
- Mass density: 5.7 Mg/m³
- Formation energy (no corrections): -0.03 eV per atom

=====

Entry 4:
Below is an optimized crystal structure of Ac2IrPd, with properties calculated at the PBEsol level.

Unit cell a=7.3765 b=7.3765 c=7.3765 alpha=90.00 beta=90.00 gamma=90.00
Last column: nearest neighbours and their distance in Å.
Space group Fm-3m (No. 225)
Unique sites:
Ac 0.2500 0.2500 0.2500 [8 per cell]  4 Ir 3.19, 4 Pd 3.19
Ir 0.0000 0.0000 0.0000 [4 per cell]  8 Ac 3.19
Pd 0.0000 0.0000 0.5000 [4 per cell]  8 Ac 3.19

Summary:
- Total moment: 0.0 μB per cell
- Uncorrected energy: -6.76 eV/atom
- Mass density: 12.5 Mg/m³
- Formation energy from the elements: -0.560 eV/atom

=====

Entry 5:
Below is an optimized crystal structure of La2ZrReW, with properties calculated at the PBEsol level.

Unit cell a=5.3513 b=5.3513 c=4.7582 alpha=90.00 beta=90.00 gamma=90.00
Last column: nearest neighbours and their distance in Å.
Space group P4/mmm (No. 123)
Unique sites:
La 0.0000 0.5000 0.0000 [2 per cell]  2 Zr 2.68
Zr 0.0000 0.0000 0.0000 [1 per cell]  2 W 2.38
Re 0.5000 0.5000 0.5000 [1 per cell]  8 La 3.58, 4 W 3.78
W 0.0000 0.0000 0.5000 [1 per cell]  2 Zr 2.38

Summary:
- Total moment: 1.0 μB per cell
- Uncorrected energy: -7.32 eV/atom
- Mass density: 9.0 Mg/m³
- Formation energy from the elements: 2.063 eV/atom

=====

Entry 6:
Below is an optimized crystal structure of Ba2CrAg, with properties calculated at the PBEsol level.

Unit cell a=8.0302 b=8.0421 c=4.0647 alpha=90.00 beta=90.00 gamma=90.00
Last column: nearest neighbours and their distance in Å.
Space group Cmmm (No. 65)
Unique sites:
Ba 0.2500 0.2500 0.0000 [4 per cell]  4 Cr 3.49, 4 Ag 3.49
Cr 0.0000 0.0000 0.5000 [2 per cell]  8 Ba 3.49
Ag 0.0000 0.5000 0.5000 [2 per cell]  8 Ba 3.49

Summary:
- Total moment: 9.2 μB per cell
- Uncorrected energy: -4.03 eV/atom
- Mass density: 5.5 Mg/m³
- Formation energy from the elements: 0.437 eV/atom